(1)
SrCa2Se2: optimized geometry, GGA-PBE.

Output
**Energy relative to the elements, uncorrected**: -1198 meV per atom
**Magnetic moment**: 0.37 Bohr magnetons per cell

Unit cell a=4.699 b=4.699 c=7.732 alpha=72.31 beta=72.31 gamma=90.00
Element x y z (fractional)
Ca1 0.250 0.750 0.500
Ca2 0.750 0.250 0.500
Sr1 0.000 0.000 0.000
Se1 0.623 0.623 0.755
Se2 0.377 0.377 0.245

---

(2)
KAl2Cl: optimized geometry, GGA-PBE.

Output
**Energy relative to the elements, uncorrected**: 141 meV per atom
**Magnetic moment**: 0.00 Bohr magnetons per cell

Unit cell a=3.377 b=3.377 c=10.124 alpha=90.00 beta=90.00 gamma=118.38
Element x y z (fractional)
Cl1 0.500 0.500 0.250
K1 0.500 0.500 0.750
Al1 0.000 0.000 0.462
Al2 0.000 0.000 0.038

---

(3)
MgTc2P: optimized geometry, GGA-PBE.

Output
**Magnetic moment**: 0.00 Bohr magnetons per cell
**ΔH_f (0 K)**: -0.36 eV per formula unit

Unit cell a=3.465 b=3.027 c=6.046 alpha=72.22 beta=90.00 gamma=90.00
Element x y z (fractional)
P1 0.500 0.750 0.750
Tc1 0.000 0.602 0.539
Tc2 0.000 0.898 0.961
Mg1 0.500 0.250 0.250

---

(4)
NaBiBI2: optimized geometry, GGA-PBE.

Output
**Energy relative to the elements, uncorrected**: 1154 meV per atom
**Magnetic moment**: 2.75 Bohr magnetons per cell

Unit cell a=5.825 b=6.025 c=5.825 alpha=90.00 beta=90.00 gamma=90.00
Element x y z (fractional)
Bi1 0.000 0.500 0.000
I1 0.500 0.000 0.000
I2 0.000 0.000 0.500
Na1 0.000 0.000 0.000
B1 0.500 0.500 0.500

---

(5)
Er2PuGa: optimized geometry, GGA-PBE.

Output
**Magnetic moment**: 6.13 Bohr magnetons per cell
**ΔH_f (0 K)**: -0.84 eV per formula unit

Unit cell a=3.437 b=3.437 c=8.687 alpha=90.00 beta=90.00 gamma=90.00
Element x y z (fractional)
Pu1 0.500 0.500 0.500
Er1 0.000 0.000 0.786
Er2 0.000 0.000 0.214
Ga1 0.500 0.500 0.000

---

(6)
Ac4ErTl5: optimized geometry, GGA-PBE.

Output
**Magnetic moment**: 0.00 Bohr magnetons per cell
**ΔH_f (0 K)**: -3.43 eV per formula unit

Unit cell a=3.961 b=3.961 c=21.286 alpha=90.00 beta=90.00 gamma=90.00
Element x y z (fractional)
Ac1 0.000 0.000 0.813
Ac2 0.000 0.000 0.187
Ac3 0.000 0.000 0.605
Ac4 0.000 0.000 0.395
Tl1 0.500 0.500 0.500
Tl2 0.500 0.500 0.081
Tl3 0.500 0.500 0.919
Tl4 0.500 0.500 0.290
Tl5 0.500 0.500 0.710
Er1 0.000 0.000 0.000

---

(7)
Cs4AcU3S12: optimized geometry, GGA-PBE.

Output
**Energy relative to the elements, uncorrected**: -1392 meV per atom
**Magnetic moment**: 1.05 Bohr magnetons per cell

Unit cell a=9.277 b=9.277 c=9.277 alpha=109.47 beta=109.47 gamma=109.47
Element x y z (fractional)
S1 0.269 0.000 0.269
S2 0.731 0.000 0.731
S3 0.250 0.750 0.500
S4 0.269 0.269 0.000
S5 0.750 0.500 0.250
S6 0.731 0.731 0.000
S7 0.000 0.731 0.731
S8 0.750 0.250 0.500
S9 0.500 0.250 0.750
S10 0.500 0.750 0.250
S11 0.000 0.269 0.269
S12 0.250 0.500 0.750
Cs1 0.500 0.000 0.000
Cs2 0.000 0.500 0.000
Cs3 0.000 0.000 0.500
Cs4 0.500 0.500 0.500
U1 0.000 0.500 0.500
U2 0.500 0.000 0.500
U3 0.500 0.500 0.000
Ac1 0.000 0.000 0.000

---

(8)
Ce4AsCBr2: optimized geometry, GGA-PBE.

Output
**Energy relative to the elements, uncorrected**: -1040 meV per atom
**Magnetic moment**: 3.56 Bohr magnetons per cell

Unit cell a=3.943 b=7.085 c=7.580 alpha=107.15 beta=90.00 gamma=90.00
Element x y z (fractional)
Ce1 0.500 0.728 0.793
Ce2 0.000 0.701 0.193
Ce3 0.000 0.299 0.807
Ce4 0.500 0.272 0.207
As1 0.000 0.000 0.000
Br1 0.500 0.000 0.500
Br2 0.000 0.500 0.500
C1 0.500 0.500 0.000

---

(9)
LaMgTa2Co: optimized geometry, GGA-PBE.

Output
**Magnetic moment**: 0.01 Bohr magnetons per cell
**ΔH_f (0 K)**: 7.29 eV per formula unit

Unit cell a=4.995 b=4.384 c=4.995 alpha=90.00 beta=90.00 gamma=90.00
Element x y z (fractional)
Co1 0.000 0.500 0.000
Mg1 0.000 0.000 0.000
La1 0.500 0.500 0.500
Ta1 0.500 0.000 0.000
Ta2 0.000 0.000 0.500

---

(10)
CaRh2Au: optimized geometry, GGA-PBE.

Output
**Magnetic moment**: 0.00 Bohr magnetons per cell
**ΔH_f (0 K)**: -0.21 eV per formula unit

Unit cell a=5.574 b=5.574 c=5.574 alpha=147.14 beta=129.50 gamma=61.57
Element x y z (fractional)
Rh1 0.514 0.514 0.000
Rh2 0.986 0.986 0.000
Ca1 0.250 0.750 0.500
Au1 0.750 0.250 0.500

---

(11)
Th5Cd2Os2: optimized geometry, GGA-PBE.

Output
**Magnetic moment**: 0.00 Bohr magnetons per cell
**ΔH_f (0 K)**: -0.55 eV per formula unit

Unit cell a=8.594 b=6.835 c=10.322 alpha=109.33 beta=114.60 gamma=90.00
Element x y z (fractional)
Th1 0.815 0.746 0.066
Th2 0.249 0.179 0.934
Th3 0.555 0.578 0.312
Th4 0.185 0.679 0.934
Th5 0.743 0.766 0.688
Th6 0.257 0.078 0.312
Th7 0.445 0.266 0.688
Th8 0.751 0.246 0.066
Th9 0.961 0.274 0.500
Th10 0.039 0.774 0.500
Cd1 0.139 0.505 0.204
Cd2 0.861 0.301 0.796
Cd3 0.565 0.005 0.204
Cd4 0.435 0.801 0.796
Os1 0.267 0.479 0.500
Os2 0.733 0.979 0.500
Os3 0.000 0.008 0.000
Os4 0.500 0.508 0.000

---

(12)
Sm12Er7Zr: optimized geometry, GGA-PBE.

Output
**Magnetic moment**: 0.01 Bohr magnetons per cell
**ΔH_f (0 K)**: 4.61 eV per formula unit

Unit cell a=6.112 b=11.435 c=11.435 alpha=116.90 beta=100.26 gamma=100.26
Element x y z (fractional)
Sm1 0.575 0.999 0.647
Sm2 0.928 0.353 0.352
Sm3 0.499 0.413 0.586
Sm4 0.913 0.827 0.413
Sm5 0.913 0.414 0.827
Sm6 0.072 0.647 0.648
Sm7 0.087 0.173 0.587
Sm8 0.501 0.587 0.414
Sm9 0.425 0.352 0.999
Sm10 0.425 0.001 0.353
Sm11 0.087 0.586 0.173
Sm12 0.575 0.648 0.001
Er1 0.117 0.760 0.001
Er2 0.357 0.241 0.240
Er3 0.883 0.240 0.999
Er4 0.116 0.999 0.759
Er5 0.884 0.001 0.241
Er6 0.643 0.759 0.760
Er7 0.500 0.000 0.000
Zr1 0.000 0.000 0.000